Dy5Tm6Mg after structural relaxation, computed with PBE.

Computed properties:
Spin magnetization = 0.000 μB/f.u.
Calculated formation energy = 0.048 eV per atom

Lattice parameters (Å, degrees): 5.374 8.195 16.474 90.00 90.00 90.00
Space group Immm (No. 71)
Asymmetric unit:
Dy (0.000, 0.000, 0.000)
Dy (0.000, 0.000, 0.309)
Dy (0.000, 0.500, 0.337)
Tm (0.000, 0.214, 0.500)
Tm (0.000, 0.277, 0.153)
Mg (0.000, 0.500, 0.000)

Dy2Tm3Mg3 after structural relaxation, computed with PBE.

Computed properties:
Spin magnetization = 0.000 μB/f.u.
Calculated formation energy = -0.045 eV per atom

Lattice parameters (Å, degrees): 3.726 5.367 22.208 90.00 90.00 90.00
Space group Immm (No. 71)
Asymmetric unit:
Dy (0.000, 0.000, 0.235)
Tm (0.000, 0.000, 0.000)
Tm (0.000, 0.500, 0.125)
Mg (0.000, 0.000, 0.500)
Mg (0.000, 0.500, 0.384)

DyTm4Mg7 after structural relaxation, computed with PBE.

Computed properties:
Spin magnetization = 0.001 μB/f.u.
Calculated formation energy = 0.174 eV per atom

Lattice parameters (Å, degrees): 11.457 5.602 11.507 90.00 116.13 90.00
Space group C2/m (No. 12)
Asymmetric unit:
Dy (0.000, 0.000, 0.000)
Tm (0.070, 0.500, 0.319)
Tm (0.163, 0.000, 0.778)
Mg (0.000, 0.500, 0.000)
Mg (0.125, 0.000, 0.492)
Mg (0.202, 0.500, 0.923)
Mg (0.241, 0.500, 0.676)

Dy2Tm4Mg after structural relaxation, computed with PBE.

Computed properties:
Spin magnetization = 0.000 μB/f.u.
Calculated formation energy = 0.148 eV per atom

Lattice parameters (Å, degrees): 5.855 3.571 10.530 90.00 99.21 90.00
Space group P2/m (No. 10)
Asymmetric unit:
Dy (0.000, 0.000, 0.000)
Dy (0.500, 0.500, 0.000)
Tm (0.061, 0.500, 0.697)
Tm (0.421, 0.000, 0.252)
Mg (0.500, 0.500, 0.500)

Result set for volume: 725.5 444.1 663.0 217.3 Å³ per cell, one per record in the order listed.